1.
{
  "formula": "GaPSe2",
  "functional": "PBE",
  "state": "optimized geometry",
  "rho_kg_m3": 5650,
  "magmom_total_mub_per_fu": 0.000,
  "dft_energy_ev_per_atom": -3.4502,
  "raw_formation_energy_ev_per_atom": 0.4013,
  "cell": [[0.000, 3.362, 3.362], [3.362, 0.000, 3.362], [3.362, 3.362, 0.000]],
  "species": ["P", "Ga", "Se", "Se"],
  "fractional_positions": [[0.000, 0.000, 0.000], [0.500, 0.500, 0.500], [0.250, 0.250, 0.250], [0.750, 0.750, 0.750]]
}

***

2.
{
  "formula": "GaPSe2",
  "functional": "PBE",
  "state": "optimized geometry",
  "rho_kg_m3": 4263,
  "magmom_total_mub_per_fu": 0.000,
  "dft_energy_ev_per_atom": -3.7194,
  "raw_formation_energy_ev_per_atom": 0.1321,
  "cell": [[5.262, 0.000, 0.000], [0.000, 5.262, 0.000], [2.631, 2.631, 7.277]],
  "species": ["P", "P", "Ga", "Ga", "Se", "Se", "Se", "Se"],
  "fractional_positions": [[0.500, 0.500, 0.000], [0.250, 0.750, 0.500], [0.000, 0.000, 0.000], [0.750, 0.250, 0.500], [0.598, 0.125, 0.250], [0.152, 0.625, 0.250], [0.375, 0.402, 0.750], [0.875, 0.848, 0.750]]
}

***

3.
{
  "formula": "GaPSe2",
  "functional": "PBE",
  "state": "optimized geometry",
  "rho_kg_m3": 4591,
  "magmom_total_mub_per_fu": 0.000,
  "dft_energy_ev_per_atom": -3.7239,
  "raw_formation_energy_ev_per_atom": 0.1275,
  "cell": [[1.360, 5.290, 6.119], [3.899, 2.673, 6.703], [4.541, 5.352, 4.244]],
  "species": ["P", "Ga", "Se", "Se"],
  "fractional_positions": [[0.000, 0.000, 0.000], [0.500, 0.500, 0.500], [0.897, 0.897, 0.897], [0.103, 0.103, 0.103]]
}

***

4.
{
  "formula": "GaPSe4",
  "functional": "PBE",
  "state": "optimized geometry",
  "rho_kg_m3": 4182,
  "magmom_total_mub_per_fu": 0.000,
  "dft_energy_ev_per_atom": -3.9581,
  "raw_formation_energy_ev_per_atom": -0.2290,
  "cell": [[-2.012, -5.455, 2.250], [5.458, -0.933, 2.864], [-2.962, 3.952, 6.931]],
  "species": ["Ga", "Ga", "P", "P", "Se", "Se", "Se", "Se", "Se", "Se", "Se", "Se"],
  "fractional_positions": [[0.823, 0.177, 0.750], [0.177, 0.823, 0.250], [0.669, 0.669, 0.000], [0.331, 0.331, 0.500], [0.182, 0.225, 0.276], [0.818, 0.775, 0.776], [0.225, 0.182, 0.724], [0.690, 0.268, 0.488], [0.775, 0.818, 0.224], [0.732, 0.310, 0.012], [0.268, 0.690, 0.512], [0.310, 0.732, 0.988]]
}

***

5.
{
  "formula": "Ga2P2Se",
  "functional": "PBE",
  "state": "optimized geometry",
  "rho_kg_m3": 5108,
  "magmom_total_mub_per_fu": 0.000,
  "dft_energy_ev_per_atom": -4.0692,
  "raw_formation_energy_ev_per_atom": 0.0024,
  "cell": [[4.643, 0.000, 0.000], [0.000, 4.643, 0.000], [2.321, 2.321, 4.228]],
  "species": ["P", "P", "Ga", "Ga", "Se"],
  "fractional_positions": [[0.367, 0.367, 0.265], [0.633, 0.633, 0.735], [0.750, 0.250, 0.500], [0.250, 0.750, 0.500], [0.000, 0.000, 0.000]]
}

***

6.
{
  "formula": "GaPSe",
  "functional": "PBE",
  "state": "optimized geometry",
  "rho_kg_m3": 4319,
  "magmom_total_mub_per_fu": 0.000,
  "dft_energy_ev_per_atom": -3.9697,
  "raw_formation_energy_ev_per_atom": 0.0040,
  "cell": [[-1.538, 1.788, 2.590], [1.473, -3.607, 3.366], [7.294, 2.925, -0.058]],
  "species": ["P", "P", "Se", "Se", "Ga", "Ga"],
  "fractional_positions": [[0.335, 0.339, 0.670], [0.665, 0.839, 0.330], [0.091, 0.538, 0.181], [0.909, 0.038, 0.819], [0.189, 0.164, 0.378], [0.811, 0.664, 0.622]]
}

***

7.
{
  "formula": "GaPSe2",
  "functional": "PBE",
  "state": "optimized geometry",
  "rho_kg_m3": 4541,
  "magmom_total_mub_per_fu": 0.000,
  "dft_energy_ev_per_atom": -3.7427,
  "raw_formation_energy_ev_per_atom": 0.1088,
  "cell": [[-0.241, 8.890, -1.313], [-1.285, 8.657, 2.053], [2.158, 8.634, 1.266]],
  "species": ["P", "Ga", "Se", "Se"],
  "fractional_positions": [[0.500, 0.500, 0.500], [0.000, 0.000, 0.000], [0.891, 0.891, 0.891], [0.109, 0.109, 0.109]]
}

***

8.
{
  "formula": "GaP3Se",
  "functional": "PBE",
  "state": "optimized geometry",
  "rho_kg_m3": 3589,
  "magmom_total_mub_per_fu": 0.000,
  "dft_energy_ev_per_atom": -3.4976,
  "raw_formation_energy_ev_per_atom": 1.0506,
  "cell": [[4.817, 0.000, 0.000], [0.000, 4.817, 0.000], [0.000, 0.000, 4.817]],
  "species": ["P", "P", "P", "Ga", "Se"],
  "fractional_positions": [[0.000, 0.500, 0.000], [0.000, 0.000, 0.500], [0.500, 0.000, 0.000], [0.500, 0.500, 0.500], [0.000, 0.000, 0.000]]
}

***

9.
{
  "formula": "Ga2P2Se",
  "functional": "PBE",
  "state": "optimized geometry",
  "rho_kg_m3": 4478,
  "magmom_total_mub_per_fu": 0.000,
  "dft_energy_ev_per_atom": -3.9183,
  "raw_formation_energy_ev_per_atom": 0.1533,
  "cell": [[7.461, 0.000, 0.000], [0.000, 7.461, 0.000], [0.000, 0.000, 3.735]],
  "species": ["P", "P", "P", "P", "Ga", "Ga", "Ga", "Ga", "Se", "Se"],
  "fractional_positions": [[0.257, 0.757, 0.000], [0.757, 0.743, 0.000], [0.743, 0.243, 0.000], [0.243, 0.257, 0.000], [0.117, 0.617, 0.500], [0.617, 0.883, 0.500], [0.883, 0.383, 0.500], [0.383, 0.117, 0.500], [0.000, 0.000, 0.000], [0.500, 0.500, 0.000]]
}

***

10.
{
  "formula": "Ga3PSe",
  "functional": "PBE",
  "state": "optimized geometry",
  "rho_kg_m3": 4569,
  "magmom_total_mub_per_fu": 0.000,
  "dft_energy_ev_per_atom": -3.4458,
  "raw_formation_energy_ev_per_atom": 0.1492,
  "cell": [[-1.868, 1.247, -4.329], [2.101, -3.904, -2.031], [-3.985, -2.643, 0.959]],
  "species": ["P", "Ga", "Ga", "Ga", "Se"],
  "fractional_positions": [[0.000, 0.000, 0.000], [0.000, 0.500, 0.000], [0.000, 0.000, 0.500], [0.500, 0.000, 0.000], [0.500, 0.500, 0.500]]
}

***

11.
{
  "formula": "Sm6GaP2Se3",
  "functional": "PBE",
  "state": "optimized geometry",
  "rho_kg_m3": 6838,
  "magmom_total_mub_per_fu": 0.000,
  "dft_energy_ev_per_atom": -5.9637,
  "raw_formation_energy_ev_per_atom": -1.5791,
  "cell": [[-2.869, 0.816, 2.838], [-3.935, -7.236, -1.897], [7.299, -2.752, 5.183]],
  "species": ["Sm", "Sm", "Sm", "Sm", "Sm", "Sm", "Ga", "P", "P", "Se", "Se", "Se"],
  "fractional_positions": [[0.334, 0.905, 0.669], [0.671, 0.572, 0.343], [0.666, 0.095, 0.331], [0.004, 0.251, 0.007], [0.996, 0.749, 0.993], [0.329, 0.428, 0.657], [0.500, 0.000, 0.000], [0.832, 0.665, 0.665], [0.168, 0.335, 0.335], [0.500, 0.500, 0.000], [0.833, 0.169, 0.665], [0.167, 0.831, 0.335]]
}

***

12.
{
  "formula": "Sm4GaPSe2",
  "functional": "PBE",
  "state": "optimized geometry",
  "rho_kg_m3": 6885,
  "magmom_total_mub_per_fu": 0.000,
  "dft_energy_ev_per_atom": -5.7587,
  "raw_formation_energy_ev_per_atom": -1.4734,
  "cell": [[-1.244, 2.093, 3.313], [5.522, -2.845, 3.872], [5.778, 4.385, -0.601]],
  "species": ["Sm", "Sm", "Sm", "Sm", "Ga", "P", "Se", "Se"],
  "fractional_positions": [[0.000, 0.745, 0.747], [0.000, 0.255, 0.253], [0.500, 0.735, 0.259], [0.500, 0.265, 0.741], [0.500, 0.500, 0.000], [0.000, 0.500, 0.500], [0.000, 0.000, 0.000], [0.500, 0.000, 0.500]]
}

***

13.
{
  "formula": "SrGaP2Se",
  "functional": "PBE",
  "state": "optimized geometry",
  "rho_kg_m3": 2570,
  "magmom_total_mub_per_fu": 2.443,
  "dft_energy_ev_per_atom": -2.6101,
  "raw_formation_energy_ev_per_atom": 1.1925,
  "cell": [[-0.994, -1.195, 5.253], [5.292, -3.634, 0.175], [2.940, 4.356, 1.547]],
  "species": ["Sr", "Ga", "Se", "P", "P"],
  "fractional_positions": [[0.000, 0.000, 0.000], [0.000, 0.500, 0.000], [0.500, 0.500, 0.500], [0.000, 0.000, 0.500], [0.500, 0.000, 0.000]]
}